Here is a relaxed structure of MnFeGe2O from the Alexandria database. Energies are from PBE with a Hubbard U.

Summary:
Energy = -4.32 eV/atom
Space-group type = No. 123
Size of the total moment = 7.02 μB/f.u.

Unit cell a=4.5056 b=4.5056 c=4.8615 alpha=90.00 beta=90.00 gamma=90.00
Last column: nearest neighbours and their distance in Å.
Fractional coordinates of all 5 atoms:
Mn 0.0000 0.0000 0.0000  4 Ge 2.25, 2 Fe 2.43
Fe 0.0000 0.0000 0.5000  2 Mn 2.43
Ge 0.0000 0.5000 0.0000  2 Mn 2.25
Ge 0.5000 0.0000 0.0000  2 Mn 2.25
O 0.5000 0.5000 0.5000  4 Fe 3.19, 8 Ge 3.31